TbTi2Fe9 PBE-GGA optimized geometry; DOS(E_F) = 9.88 states/eV/f.u.; energy of formation from the pure elements = -0.17 eV per atom
1.0
2.4439 1.4110 7.8324
-2.4439 1.4110 7.8324
0.0000 -2.8220 7.8324
Tb Ti Fe
1 2 9
direct
0.0000 0.0000 0.0000
0.1451 0.1451 0.1451
0.8549 0.8549 0.8549
0.0829 0.5887 0.5887
0.3332 0.3332 0.3332
0.4113 0.4113 0.9171
0.4113 0.9171 0.4113
0.5000 0.5000 0.5000
0.5887 0.0829 0.5887
0.5887 0.5887 0.0829
0.6668 0.6668 0.6668
0.9171 0.4113 0.4113

TbTiFe4 PBE-GGA optimized geometry; DOS(E_F) = 3.77 states/eV/f.u.; energy of formation from the pure elements = -0.14 eV per atom
1.0
0.0000 3.5274 3.5274
3.5274 0.0000 3.5274
3.5274 3.5274 0.0000
Tb Ti Fe
1 1 4
direct
0.0000 0.0000 0.0000
0.7500 0.7500 0.7500
0.3756 0.3756 0.3756
0.3756 0.3756 0.8733
0.3756 0.8733 0.3756
0.8733 0.3756 0.3756

TbTiFe10 PBE-GGA optimized geometry; DOS(E_F) = 11.65 states/eV/f.u.; energy of formation from the pure elements = 0.00 eV per atom
1.0
3.9826 0.0000 0.0000
0.0000 4.8439 0.0000
0.0000 0.0000 8.3801
Tb Ti Fe
1 1 10
direct
0.0000 0.0000 0.0000
0.0000 0.5000 0.5000
0.0000 0.0000 0.3438
0.0000 0.0000 0.6562
0.0000 0.5000 0.1814
0.0000 0.5000 0.8186
0.5000 0.0000 0.5000
0.5000 0.2524 0.2579
0.5000 0.2524 0.7421
0.5000 0.5000 0.0000
0.5000 0.7476 0.2579
0.5000 0.7476 0.7421

Tb3TiFe8 PBE-GGA optimized geometry; DOS(E_F) = 13.66 states/eV/f.u.; energy of formation from the pure elements = -0.09 eV per atom
1.0
2.5309 1.4612 8.2827
-2.5309 1.4612 8.2827
0.0000 -2.9224 8.2827
Tb Ti Fe
3 1 8
direct
0.0000 0.0000 0.0000
0.1262 0.1262 0.1262
0.5038 0.5038 0.5038
0.6271 0.6271 0.6271
0.0575 0.5630 0.5630
0.0660 0.0660 0.5677
0.0660 0.5677 0.0660
0.3134 0.3134 0.3134
0.5630 0.0575 0.5630
0.5630 0.5630 0.0575
0.5677 0.0660 0.0660
0.8142 0.8142 0.8142

Tb2TlFe PBE-GGA optimized geometry; DOS(E_F) = 3.36 states/eV/f.u.; energy of formation from the pure elements = 0.20 eV per atom
1.0
3.6595 0.0000 0.0000
-1.8298 3.1692 0.0000
0.0000 0.0000 29.7059
Tb Tl Fe
6 3 3
direct
0.0000 0.0000 0.1106
0.0000 0.0000 0.8894
0.3333 0.6667 0.5560
0.3333 0.6667 0.7773
0.6667 0.3333 0.2227
0.6667 0.3333 0.4440
0.0000 0.0000 0.0000
0.3333 0.6667 0.6667
0.6667 0.3333 0.3333
0.0000 0.0000 0.5000
0.3333 0.6667 0.1667
0.6667 0.3333 0.8333

TbTlFe4 PBE-GGA optimized geometry; DOS(E_F) = 6.72 states/eV/f.u.; energy of formation from the pure elements = 0.07 eV per atom
1.0
0.0000 3.6039 3.6039
3.6039 0.0000 3.6039
3.6039 3.6039 0.0000
Tb Tl Fe
1 1 4
direct
0.0000 0.0000 0.0000
0.7500 0.7500 0.7500
0.3748 0.3748 0.3748
0.3748 0.3748 0.8757
0.3748 0.8757 0.3748
0.8757 0.3748 0.3748

Tb2TlFe PBE-GGA optimized geometry; DOS(E_F) = 5.25 states/eV/f.u.; energy of formation from the pure elements = -0.10 eV per atom
1.0
3.4857 0.0000 0.0000
0.0000 3.4857 0.0000
0.0000 0.0000 7.8780
Tb Tl Fe
2 1 1
direct
0.0000 0.0000 0.2075
0.0000 0.0000 0.7925
0.5000 0.5000 0.5000
0.5000 0.5000 0.0000

Tb5Tl2Fe2 PBE-GGA optimized geometry; DOS(E_F) = 9.06 states/eV/f.u.; energy of formation from the pure elements = -0.13 eV per atom
1.0
8.4942 -3.6705 0.0000
8.4942 3.6705 0.0000
0.0000 0.0000 7.3667
Tb Tl Fe
10 4 4
direct
0.0000 0.0000 0.0000
0.0659 0.6987 0.6800
0.1987 0.5659 0.1800
0.3013 0.9341 0.6800
0.4341 0.8013 0.1800
0.5000 0.5000 0.5000
0.5659 0.1987 0.8200
0.6987 0.0659 0.3200
0.8013 0.4341 0.8200
0.9341 0.3013 0.3200
0.2280 0.2280 0.0000
0.2720 0.2720 0.5000
0.7280 0.7280 0.5000
0.7720 0.7720 0.0000
0.1052 0.8948 0.3942
0.3948 0.6052 0.8942
0.6052 0.3948 0.1058
0.8948 0.1052 0.6058

TbTmFe4 PBE-GGA optimized geometry; DOS(E_F) = 8.86 states/eV/f.u.; energy of formation from the pure elements = -0.10 eV per atom
1.0
0.0000 3.6194 3.6194
3.6194 0.0000 3.6194
3.6194 3.6194 0.0000
Tb Tm Fe
1 1 4
direct
0.0000 0.0000 0.0000
0.7500 0.7500 0.7500
0.3752 0.3752 0.3752
0.3752 0.3752 0.8745
0.3752 0.8745 0.3752
0.8745 0.3752 0.3752

TbTm3Fe8 PBE-GGA optimized geometry; DOS(E_F) = 16.78 states/eV/f.u.; energy of formation from the pure elements = -0.12 eV per atom
1.0
2.5489 1.4716 8.3053
-2.5489 1.4716 8.3053
0.0000 -2.9432 8.3053
Tb Tm Fe
1 3 8
direct
0.0000 0.0000 0.0000
0.3753 0.3753 0.3753
0.5000 0.5000 0.5000
0.8748 0.8748 0.8748
0.1873 0.1873 0.1873
0.4372 0.4372 0.9362
0.4372 0.9362 0.4372
0.4392 0.9377 0.9377
0.6879 0.6879 0.6879
0.9362 0.4372 0.4372
0.9377 0.4392 0.9377
0.9377 0.9377 0.4392

TbTm6Fe2 PBE-GGA optimized geometry; DOS(E_F) = 9.71 states/eV/f.u.; energy of formation from the pure elements = 0.03 eV per atom
1.0
-4.7353 4.8629 4.9606
4.7353 -4.8629 4.9606
4.7353 4.8629 -4.9606
Tb Tm Fe
2 12 4
direct
0.0000 0.0000 0.0000
0.5000 0.5000 0.0000
0.0245 0.2420 0.7824
0.1869 0.2831 0.4700
0.1869 0.7169 0.9038
0.3222 0.0050 0.6828
0.3222 0.6394 0.3172
0.4596 0.2420 0.2176
0.5404 0.7580 0.7824
0.6778 0.3606 0.6828
0.6778 0.9950 0.3172
0.8131 0.2831 0.0962
0.8131 0.7169 0.5300
0.9755 0.7580 0.2176
0.1092 0.6092 0.5000
0.3090 0.0000 0.3090
0.6910 0.0000 0.6910
0.8908 0.3908 0.5000

Tb2TmFe PBE-GGA optimized geometry; DOS(E_F) = 5.47 states/eV/f.u.; offset from the most stable computed form = 11.1 kJ per mole of atoms; energy of formation from the pure elements = 0.11 eV per atom
1.0
3.4679 0.0000 0.0000
0.0000 3.4679 0.0000
0.0000 0.0000 8.5150
Tb Tm Fe
2 1 1
direct
0.0000 0.0000 0.1909
0.0000 0.0000 0.8091
0.5000 0.5000 0.5000
0.5000 0.5000 0.0000

Tb3TmFe PBE-GGA optimized geometry; DOS(E_F) = 7.79 states/eV/f.u.; energy of formation from the pure elements = 0.14 eV per atom
1.0
5.2690 0.0000 0.0000
0.0000 5.2690 0.0000
0.0000 0.0000 5.2690
Tb Tm Fe
3 1 1
direct
0.0000 0.0000 0.5000
0.0000 0.5000 0.0000
0.5000 0.0000 0.0000
0.5000 0.5000 0.5000
0.0000 0.0000 0.0000

Tb3TmFe8 PBE-GGA optimized geometry; DOS(E_F) = 17.39 states/eV/f.u.; energy of formation from the pure elements = -0.08 eV per atom
1.0
2.5673 1.4822 8.3720
-2.5673 1.4822 8.3720
0.0000 -2.9645 8.3720
Tb Tm Fe
3 1 8
direct
0.0000 0.0000 0.0000
0.1252 0.1252 0.1252
0.5004 0.5004 0.5004
0.6251 0.6251 0.6251
0.0608 0.5626 0.5626
0.0630 0.0630 0.5641
0.0630 0.5641 0.0630
0.3124 0.3124 0.3124
0.5626 0.0608 0.5626
0.5626 0.5626 0.0608
0.5641 0.0630 0.0630
0.8129 0.8129 0.8129

Tb2TmFe PBE-GGA optimized geometry; DOS(E_F) = 6.75 states/eV/f.u.; offset from the most stable computed form = 56.7 kJ per mole of atoms; energy of formation from the pure elements = 0.58 eV per atom
1.0
3.3619 0.0000 0.0000
-1.6810 2.9115 0.0000
0.0000 0.0000 32.8017
Tb Tm Fe
6 3 3
direct
0.0000 0.0000 0.0788
0.0000 0.0000 0.9212
0.3333 0.6667 0.5879
0.3333 0.6667 0.7455
0.6667 0.3333 0.2545
0.6667 0.3333 0.4121
0.0000 0.0000 0.5000
0.3333 0.6667 0.1667
0.6667 0.3333 0.8333
0.0000 0.0000 0.0000
0.3333 0.6667 0.6667
0.6667 0.3333 0.3333

Tb2TmFe PBE-GGA optimized geometry; DOS(E_F) = 3.53 states/eV/f.u.; offset from the most stable computed form = 0.0 kJ per mole of atoms; energy of formation from the pure elements = -0.01 eV per atom
1.0
7.0568 0.0000 0.0000
0.0000 9.1700 0.0000
0.0000 0.0000 6.2199
Tb Tm Fe
8 4 4
direct
0.1745 0.0668 0.1733
0.1745 0.4332 0.1733
0.3255 0.5668 0.6733
0.3255 0.9332 0.6733
0.6745 0.0668 0.3267
0.6745 0.4332 0.3267
0.8255 0.5668 0.8267
0.8255 0.9332 0.8267
0.0488 0.2500 0.6414
0.4512 0.7500 0.1414
0.5488 0.2500 0.8586
0.9512 0.7500 0.3586
0.1108 0.7500 0.9675
0.3892 0.2500 0.4675
0.6108 0.7500 0.5325
0.8892 0.2500 0.0325

TbTmZnFe PBE-GGA optimized geometry; DOS(E_F) = 5.01 states/eV/f.u.; energy of formation from the pure elements = -0.09 eV per atom
1.0
6.8934 0.0000 0.0000
0.0000 6.8934 0.0000
0.0000 0.0000 6.8934
Tb Tm Zn Fe
4 4 4 4
direct
0.0000 0.0000 0.0000
0.0000 0.5000 0.5000
0.5000 0.0000 0.5000
0.5000 0.5000 0.0000
0.0000 0.0000 0.5000
0.0000 0.5000 0.0000
0.5000 0.0000 0.0000
0.5000 0.5000 0.5000
0.2500 0.2500 0.7500
0.2500 0.7500 0.2500
0.7500 0.2500 0.2500
0.7500 0.7500 0.7500
0.2500 0.2500 0.2500
0.2500 0.7500 0.7500
0.7500 0.2500 0.7500
0.7500 0.7500 0.2500

Tb3U2Fe4 PBE-GGA optimized geometry; DOS(E_F) = 9.00 states/eV/f.u.; energy of formation from the pure elements = -0.17 eV per atom
1.0
5.4613 -1.9849 0.0000
5.4613 1.9849 0.0000
-1.9613 0.0000 8.2140
Tb U Fe
3 2 4
direct
0.0000 0.0000 0.0000
0.3757 0.3757 0.6211
0.6243 0.6243 0.3789
0.3237 0.3237 0.2210
0.6763 0.6763 0.7790
0.0938 0.0938 0.6477
0.2663 0.2663 0.9097
0.7337 0.7337 0.0903
0.9062 0.9062 0.3523

TbU2Fe4 PBE-GGA optimized geometry; DOS(E_F) = 6.43 states/eV/f.u.; energy of formation from the pure elements = 0.18 eV per atom
1.0
7.5773 0.0000 0.0000
0.0000 7.5773 0.0000
0.0000 0.0000 3.9494
Tb U Fe
2 4 8
direct
0.0000 0.0000 0.0000
0.5000 0.5000 0.5000
0.2358 0.2358 0.5000
0.2642 0.7358 0.0000
0.7358 0.2642 0.0000
0.7642 0.7642 0.5000
0.1071 0.6546 0.5000
0.1546 0.3929 0.0000
0.3454 0.8929 0.5000
0.3929 0.1546 0.0000
0.6071 0.8454 0.0000
0.6546 0.1071 0.5000
0.8454 0.6071 0.0000
0.8929 0.3454 0.5000

Tb3U3Fe8 PBE-GGA optimized geometry; DOS(E_F) = 13.28 states/eV/f.u.; energy of formation from the pure elements = -0.10 eV per atom
1.0
7.1773 -2.2523 0.0000
7.1773 2.2523 0.0000
-4.6979 0.0000 7.3660
Tb U Fe
3 3 8
direct
0.0000 0.0000 0.0000
0.3042 0.3042 0.3765
0.6958 0.6958 0.6235
0.0000 0.0000 0.5000
0.3264 0.3264 0.9591
0.6736 0.6736 0.0409
0.0893 0.0893 0.3626
0.1296 0.1296 0.8259
0.3501 0.3501 0.7439
0.4716 0.4716 0.2401
0.5284 0.5284 0.7599
0.6499 0.6499 0.2561
0.8704 0.8704 0.1741
0.9107 0.9107 0.6374

TbU2Fe9 PBE-GGA optimized geometry; DOS(E_F) = 14.86 states/eV/f.u.; energy of formation from the pure elements = -0.07 eV per atom
1.0
2.4693 1.4256 8.2227
-2.4693 1.4256 8.2227
0.0000 -2.8513 8.2227
Tb U Fe
1 2 9
direct
0.0000 0.0000 0.0000
0.1472 0.1472 0.1472
0.8528 0.8528 0.8528
0.0828 0.5814 0.5814
0.3333 0.3333 0.3333
0.4186 0.4186 0.9172
0.4186 0.9172 0.4186
0.5000 0.5000 0.5000
0.5814 0.0828 0.5814
0.5814 0.5814 0.0828
0.6667 0.6667 0.6667
0.9172 0.4186 0.4186

TbUFe4 PBE-GGA optimized geometry; DOS(E_F) = 11.62 states/eV/f.u.; offset from the most stable computed form = 4.1 kJ per mole of atoms; energy of formation from the pure elements = 0.00 eV per atom
1.0
0.0000 3.5896 3.5896
3.5896 0.0000 3.5896
3.5896 3.5896 0.0000
Tb U Fe
1 1 4
direct
0.0000 0.0000 0.0000
0.2500 0.2500 0.2500
0.1256 0.6248 0.6248
0.6248 0.1256 0.6248
0.6248 0.6248 0.1256
0.6248 0.6248 0.6248

Tb2U2Fe3 PBE-GGA optimized geometry; DOS(E_F) = 8.17 states/eV/f.u.; energy of formation from the pure elements = -0.07 eV per atom
1.0
3.8359 0.0000 0.0000
1.8143 5.2126 0.0000
1.3797 0.0650 6.7893
Tb U Fe
2 2 3
direct
0.0969 0.2125 0.1222
0.9031 0.7875 0.8778
0.3233 0.3156 0.5835
0.6767 0.6844 0.4165
0.0000 0.0000 0.5000
0.3357 0.6561 0.2018
0.6643 0.3439 0.7982

| no. | size of the total moment (Bohr magnetons per cell) | final energy (eV per atom) | mass density (g/cm3) |
| --- | --- | --- | --- |
| 1 | 15.3 | -8.22 | 7.8 |
| 2 | 6.3 | -7.87 | 8.1 |
| 3 | 18.2 | -8.09 | 7.9 |
| 4 | 13.0 | -7.55 | 8.8 |
| 5 | 2.6 | -4.82 | 8.4 |
| 6 | 8.1 | -6.74 | 10.4 |
| 7 | 1.2 | -5.12 | 10.0 |
| 8 | 3.1 | -5.11 | 9.5 |
| 9 | 7.0 | -7.26 | 9.7 |
| 10 | 13.0 | -7.27 | 9.9 |
| 11 | 1.0 | -5.35 | 9.3 |
| 12 | 2.0 | -5.44 | 8.8 |
| 13 | 0.0 | -5.22 | 8.0 |
| 14 | 13.8 | -7.25 | 9.5 |
| 15 | 6.0 | -4.97 | 8.4 |
| 16 | 0.0 | -5.56 | 9.0 |
| 17 | 4.8 | -4.80 | 9.1 |
| 18 | 0.0 | -7.98 | 11.0 |
| 19 | 0.0 | -8.54 | 12.6 |
| 20 | 0.0 | -8.34 | 11.4 |
| 21 | 12.7 | -8.69 | 10.9 |
| 22 | 4.6 | -8.29 | 11.1 |
| 23 | 0.0 | -8.25 | 11.8 |